[1]
MnAgB2 | GGA-PBE | optimized geometry

Cell lengths 7.4888, 7.4888, 7.4888 Å; angles 151.41, 151.41, 40.88 degrees
With the nearest neighbours (Å) after each atom.
Fractional coordinates of all 8 atoms:
Mn 0.3750 0.6250 0.7500  4 B 1.98
Mn 0.6250 0.3750 0.2500  4 B 1.98
Ag 0.1250 0.8750 0.2500  4 Mn 2.62, 8 B 2.71
Ag 0.8750 0.1250 0.7500  4 Mn 2.62, 8 B 2.71
B 0.0000 0.5000 0.5000  2 B 1.85, 2 Mn 1.98
B 0.5000 0.0000 0.0000  2 B 1.85, 2 Mn 1.98
B 0.5000 0.5000 0.0000  2 B 1.85, 2 Mn 1.98
B 0.5000 0.5000 0.5000  2 B 1.85, 2 Mn 1.98

Values from the calculation:
ΔE_f (eV/f.u.): 2.52
Excess energy over the best structure of this formula in the dataset (eV/f.u.): 0.00
Crystal system: tetragonal

[2]
SrCdPb | GGA-PBE | optimized geometry

Cell lengths 4.9236, 4.9236, 7.9076 Å; angles 90.00, 90.00, 90.00 degrees
With the nearest neighbours (Å) after each atom.
Fractional coordinates of all 6 atoms:
Sr 0.2500 0.2500 0.1874  4 Cd 3.49, 5 Pb 3.50-3.52
Sr 0.7500 0.7500 0.8126  4 Cd 3.49, 5 Pb 3.50-3.52
Cd 0.2500 0.7500 0.5000  4 Pb 3.13, 4 Cd 3.48, 4 Sr 3.49
Cd 0.7500 0.2500 0.5000  4 Pb 3.13, 4 Cd 3.48, 4 Sr 3.49
Pb 0.2500 0.2500 0.7445  4 Cd 3.13, 1 Sr 3.50
Pb 0.7500 0.7500 0.2555  4 Cd 3.13, 1 Sr 3.50

Values from the calculation:
ΔE_f (eV/f.u.): -1.26
Crystal system: tetragonal

[3]
Ac2BeTcO6 | GGA-PBE | optimized geometry

Cell lengths 9.7587, 9.7587, 9.7587 Å; angles 33.09, 33.09, 33.09 degrees
With the nearest neighbours (Å) after each atom.
Fractional coordinates of all 20 atoms:
Ac 0.1290 0.1290 0.1290  12 O 2.71-2.92
Ac 0.2901 0.2901 0.2901  12 O 2.78-2.83
Ac 0.7099 0.7099 0.7099  12 O 2.78-2.83
Ac 0.8710 0.8710 0.8710  12 O 2.71-2.92
Be 0.0000 0.0000 0.0000  6 O 1.88
Be 0.5000 0.5000 0.5000  6 O 1.91
Tc 0.4126 0.4126 0.4126  6 O 2.00-2.03
Tc 0.5874 0.5874 0.5874  6 O 2.00-2.03
O 0.1362 0.6216 0.6216  1 Be 1.91, 1 Tc 2.03
O 0.1993 0.1993 0.7189  1 Be 1.88, 1 Tc 2.00
O 0.1993 0.7189 0.1993  1 Be 1.88, 1 Tc 2.00
O 0.2811 0.8007 0.8007  1 Be 1.88, 1 Tc 2.00
O 0.3784 0.3784 0.8638  1 Be 1.91, 1 Tc 2.03
O 0.3784 0.8638 0.3784  1 Be 1.91, 1 Tc 2.03
O 0.6216 0.1362 0.6216  1 Be 1.91, 1 Tc 2.03
O 0.6216 0.6216 0.1362  1 Be 1.91, 1 Tc 2.03
O 0.7189 0.1993 0.1993  1 Be 1.88, 1 Tc 2.00
O 0.8007 0.2811 0.8007  1 Be 1.88, 1 Tc 2.00
O 0.8007 0.8007 0.2811  1 Be 1.88, 1 Tc 2.00
O 0.8638 0.3784 0.3784  1 Be 1.91, 1 Tc 2.03

Values from the calculation:
Raw formation energy (meV per atom): -2513
Crystal system: trigonal

Number 1: E_tot -5.713 eV/atom, spin magnetization 0.81 μB/f.u.. Number 2: E_tot -2.522 eV/atom, spin magnetization 0.00 μB/f.u.. Number 3: E_tot -7.719 eV/atom, spin magnetization 3.00 μB/f.u..